# 1
The following is a DFT calculation (PBE) of a geometry-optimized ScCo3Pb structure.

Output
As for the size of the total moment: 2.4 μB/f.u. For the calculated formation energy, the calculation gives 1118.7 meV/atom. Its total energy is -5.153 eV per atom. Its symmetry is Pm-3m (221). As for the offset from the most stable computed form: 0 meV per atom.

abc: 4.505 4.505 4.505
angles: 90.00 90.00 90.00
Positions (direct):
Pb  0.500  0.500  0.500
Sc  0.000  0.000  0.000
Co  0.000  0.500  0.000
Co  0.000  0.000  0.500
Co  0.500  0.000  0.000

***

# 2
The following is a DFT calculation (PBE) of a geometry-optimized Tb4TeAuSe2 structure.

Output
The formation energy (no corrections) is -1.4143 eV per atom. As for the size of the total moment: 0.0 μB/f.u. Its total energy is -5.403 eV per atom. Its symmetry is P2/m (10).

abc: 4.088 7.403 7.301
angles: 71.83 90.00 90.00
Positions (direct):
Tb  0.000  0.752  0.760
Tb  0.000  0.248  0.240
Tb  0.500  0.766  0.234
Tb  0.500  0.234  0.766
Te  0.000  0.500  0.500
Au  0.500  0.500  0.000
Se  0.000  0.000  0.000
Se  0.500  0.000  0.500